Entry 1:
Material: Bi3SbO7
Method: DFT, PBEsol
State: optimized geometry

Lattice parameters (Å, degrees): 6.586 6.850 7.633 73.73 89.68 77.85
Fractional coordinates of all 22 atoms:
Bi (0.474, 0.008, 0.255)
Bi (0.526, 0.992, 0.745)
Bi (0.736, 0.517, 0.119)
Bi (0.264, 0.483, 0.881)
Bi (0.258, 0.522, 0.375)
Bi (0.742, 0.478, 0.625)
Sb (0.000, 0.000, 0.500)
Sb (0.000, 0.000, 0.000)
O (0.538, 0.626, 0.822)
O (0.462, 0.374, 0.178)
O (0.717, 0.952, 0.051)
O (0.283, 0.048, 0.949)
O (0.725, 0.927, 0.482)
O (0.275, 0.073, 0.518)
O (0.468, 0.346, 0.640)
O (0.532, 0.654, 0.360)
O (0.096, 0.693, 0.038)
O (0.904, 0.307, 0.962)
O (0.888, 0.304, 0.384)
O (0.112, 0.696, 0.616)
O (0.095, 0.927, 0.269)
O (0.905, 0.073, 0.731)

Values from the calculation:
**Density of states at the Fermi level**: 0.000 states/eV per atom
**Final energy**: -6.287 eV/atom
**Energy relative to the elements, uncorrected**: -1.363 eV per atom


Entry 2:
Material: K2TaMo
Method: DFT, PBEsol
State: optimized geometry

Lattice parameters (Å, degrees): 2.863 2.863 12.772 83.56 83.56 60.00
Fractional coordinates of all 4 atoms:
K (0.247, 0.247, 0.258)
K (0.753, 0.753, 0.742)
Mo (0.500, 0.500, 0.500)
Ta (0.000, 0.000, 0.000)

Values from the calculation:
**Density of states at the Fermi level**: 1.047 states/eV per atom
**Final energy**: -5.214 eV/atom
**Energy of formation from the pure elements**: 138.2 kJ per mole of atoms


Entry 3:
Material: KCoAu2
Method: DFT, PBEsol
State: optimized geometry

Lattice parameters (Å, degrees): 2.788 3.495 7.857 90.00 90.00 90.00
Each line ends with the local moment (μB).
Fractional coordinates of all 4 atoms:
Au (0.000, 0.000, 0.818)  0.04
Au (0.000, 0.000, 0.182)  0.04
Co (0.500, 0.500, 0.000)  1.74
K (0.500, 0.500, 0.500)  0.00

Values from the calculation:
**Density of states at the Fermi level**: 1.136 states/eV per atom
**Final energy**: -3.945 eV/atom
**Energy of formation from the pure elements**: 22.6 kJ per mole of atoms


Entry 4:
Material: CrSb2P
Method: DFT, PBEsol
State: optimized geometry

Lattice parameters (Å, degrees): 3.255 4.160 6.461 98.91 90.00 113.03
Fractional coordinates of all 4 atoms:
Cr (0.498, 0.996, 0.405)
P (0.786, 0.573, 0.349)
Sb (0.991, 0.983, 0.068)
Sb (0.224, 0.449, 0.679)

Values from the calculation:
**Density of states at the Fermi level**: 0.587 states/eV per atom
**Final energy**: -6.259 eV/atom
**Energy relative to the elements, uncorrected**: 0.028 eV per atom


Entry 5:
Material: CaLa3I
Method: DFT, PBEsol
State: optimized geometry

Lattice parameters (Å, degrees): 5.959 5.959 5.959 90.00 90.00 90.00
Fractional coordinates of all 5 atoms:
I (0.000, 0.000, 0.000)
Ca (0.500, 0.500, 0.500)
La (0.000, 0.500, 0.000)
La (0.000, 0.000, 0.500)
La (0.500, 0.000, 0.000)

Values from the calculation:
**Density of states at the Fermi level**: 1.112 states/eV per atom
**Final energy**: -4.095 eV/atom
**Energy relative to the elements, uncorrected**: -0.107 eV per atom


Entry 6:
Material: ZnGaIN2
Method: DFT, PBEsol
State: optimized geometry

Lattice parameters (Å, degrees): 3.797 3.797 6.479 90.00 90.00 90.00
Each line ends with the local moment (μB).
Fractional coordinates of all 5 atoms:
I (0.000, 0.000, 0.500)  0.00
Zn (0.500, 0.500, 0.500)  0.00
Ga (0.000, 0.000, 0.000)  -0.01
N (0.000, 0.500, 0.000)  0.27
N (0.500, 0.000, 0.000)  0.27

Values from the calculation:
**Density of states at the Fermi level**: 0.553 states/eV per atom
**Final energy**: -3.631 eV/atom
**Energy relative to the elements, uncorrected**: 1.118 eV per atom


Entry 7:
Material: CsAlH8N4
Method: DFT, PBEsol
State: optimized geometry

Lattice parameters (Å, degrees): 5.196 7.329 7.329 90.00 90.00 90.00
Fractional coordinates of all 28 atoms:
Al (0.000, 0.000, 0.000)
Al (0.000, 0.500, 0.500)
Cs (0.239, 0.500, 0.000)
Cs (0.761, 0.000, 0.500)
H (0.410, 0.321, 0.485)
H (0.410, 0.679, 0.515)
H (0.410, 0.015, 0.821)
H (0.410, 0.985, 0.179)
H (0.590, 0.179, 0.015)
H (0.590, 0.821, 0.985)
H (0.590, 0.485, 0.679)
H (0.590, 0.515, 0.321)
H (0.212, 0.210, 0.343)
H (0.212, 0.790, 0.657)
H (0.212, 0.157, 0.710)
H (0.212, 0.843, 0.290)
H (0.788, 0.290, 0.157)
H (0.788, 0.710, 0.843)
H (0.788, 0.343, 0.790)
H (0.788, 0.657, 0.210)
N (0.231, 0.322, 0.426)
N (0.231, 0.678, 0.574)
N (0.231, 0.074, 0.822)
N (0.231, 0.926, 0.178)
N (0.769, 0.178, 0.074)
N (0.769, 0.822, 0.926)
N (0.769, 0.426, 0.678)
N (0.769, 0.574, 0.322)

Values from the calculation:
**Density of states at the Fermi level**: 0.000 states/eV per atom
**Final energy**: -5.247 eV/atom


Entry 8:
Material: MoSeN2
Method: DFT, PBEsol
State: optimized geometry

Lattice parameters (Å, degrees): 5.947 5.947 5.947 60.00 60.00 60.00
Each line ends with the local moment (μB).
Fractional coordinates of all 8 atoms:
Mo (0.750, 0.750, 0.750)  0.05
Mo (0.500, 0.500, 0.500)  0.05
Se (0.250, 0.250, 0.250)  0.82
Se (0.000, 0.000, 0.000)  0.82
N (0.625, 0.625, 0.625)  0.04
N (0.625, 0.625, 0.125)  0.04
N (0.625, 0.125, 0.625)  0.04
N (0.125, 0.625, 0.625)  0.04

Values from the calculation:
**Density of states at the Fermi level**: 0.889 states/eV per atom
**Final energy**: -7.759 eV/atom
**Energy relative to the elements, uncorrected**: 0.409 eV per atom


Entry 9:
Material: Li9V3W7O28
Method: DFT, PBEsol
State: optimized geometry

Lattice parameters (Å, degrees): 8.244 8.244 8.244 87.80 87.80 87.80
Each line ends with the local moment (μB).
Fractional coordinates of all 47 atoms:
Li (0.344, 0.647, 0.908)  0.00
Li (0.647, 0.344, 0.908)  0.00
Li (0.344, 0.908, 0.647)  0.00
Li (0.908, 0.344, 0.647)  0.00
Li (0.101, 0.362, 0.362)  0.00
Li (0.362, 0.101, 0.362)  0.00
Li (0.647, 0.908, 0.344)  0.00
Li (0.908, 0.647, 0.344)  0.00
Li (0.362, 0.362, 0.101)  0.00
V (0.138, 0.614, 0.614)  1.30
V (0.614, 0.138, 0.614)  1.30
V (0.614, 0.614, 0.138)  1.30
W (0.367, 0.367, 0.652)  -0.17
W (0.657, 0.657, 0.657)  0.06
W (0.367, 0.652, 0.367)  -0.17
W (0.652, 0.367, 0.367)  -0.17
W (0.995, 0.490, 0.995)  0.04
W (0.490, 0.995, 0.995)  0.04
W (0.995, 0.995, 0.490)  0.04
O (0.383, 0.383, 0.865)  0.01
O (0.622, 0.622, 0.874)  -0.01
O (0.116, 0.615, 0.855)  -0.01
O (0.615, 0.116, 0.855)  -0.01
O (0.356, 0.883, 0.883)  0.00
O (0.883, 0.356, 0.883)  0.00
O (0.116, 0.855, 0.615)  -0.01
O (0.855, 0.116, 0.615)  -0.01
O (0.395, 0.626, 0.626)  0.04
O (0.626, 0.395, 0.626)  0.04
O (0.136, 0.377, 0.618)  -0.01
O (0.377, 0.136, 0.618)  -0.01
O (0.622, 0.874, 0.622)  -0.01
O (0.874, 0.622, 0.622)  -0.01
O (0.136, 0.618, 0.377)  -0.01
O (0.618, 0.136, 0.377)  -0.01
O (0.383, 0.865, 0.383)  0.01
O (0.865, 0.383, 0.383)  0.01
O (0.404, 0.404, 0.404)  0.01
O (0.626, 0.626, 0.395)  0.04
O (0.126, 0.126, 0.378)  0.01
O (0.883, 0.883, 0.356)  0.00
O (0.126, 0.378, 0.126)  0.01
O (0.378, 0.126, 0.126)  0.01
O (0.615, 0.855, 0.116)  -0.01
O (0.855, 0.615, 0.116)  -0.01
O (0.377, 0.618, 0.136)  -0.01
O (0.618, 0.377, 0.136)  -0.01

Values from the calculation:
**Density of states at the Fermi level**: 0.139 states/eV per atom
**Final energy**: -8.289 eV/atom
**Energy relative to the elements, uncorrected**: -2.114 eV per atom


Entry 10:
Material: Sc2Ni21B6
Method: DFT, PBEsol
State: optimized geometry

Lattice parameters (Å, degrees): 7.374 7.374 7.374 60.00 60.00 60.00
Fractional coordinates of all 29 atoms:
Sc (0.750, 0.750, 0.750)
Sc (0.250, 0.250, 0.250)
Ni (0.000, 0.000, 0.000)
Ni (0.615, 0.156, 0.615)
Ni (0.615, 0.615, 0.156)
Ni (0.615, 0.615, 0.615)
Ni (0.156, 0.615, 0.615)
Ni (0.385, 0.844, 0.385)
Ni (0.385, 0.385, 0.844)
Ni (0.385, 0.385, 0.385)
Ni (0.844, 0.385, 0.385)
Ni (0.662, 0.338, 0.000)
Ni (0.000, 0.338, 0.000)
Ni (0.000, 0.338, 0.662)
Ni (0.000, 0.000, 0.338)
Ni (0.662, 0.000, 0.338)
Ni (0.000, 0.662, 0.338)
Ni (0.000, 0.000, 0.662)
Ni (0.000, 0.662, 0.000)
Ni (0.662, 0.000, 0.000)
Ni (0.338, 0.662, 0.000)
Ni (0.338, 0.000, 0.662)
Ni (0.338, 0.000, 0.000)
B (0.271, 0.271, 0.729)
B (0.729, 0.271, 0.729)
B (0.729, 0.271, 0.271)
B (0.729, 0.729, 0.271)
B (0.271, 0.729, 0.271)
B (0.271, 0.729, 0.729)

Values from the calculation:
**Density of states at the Fermi level**: 0.650 states/eV per atom
**Final energy**: -6.789 eV/atom
**Energy of formation from the pure elements**: -40.8 kJ per mole of atoms


Entry 11:
Material: In2WBrCl
Method: DFT, PBEsol
State: optimized geometry

Lattice parameters (Å, degrees): 4.705 5.381 5.381 90.00 90.00 90.00
Fractional coordinates of all 5 atoms:
Cl (0.500, 0.500, 0.500)
Br (0.500, 0.000, 0.000)
W (0.000, 0.000, 0.000)
In (0.000, 0.000, 0.500)
In (0.000, 0.500, 0.000)

Values from the calculation:
**Density of states at the Fermi level**: 0.669 states/eV per atom
**Final energy**: -4.446 eV/atom
**Energy relative to the elements, uncorrected**: 0.284 eV per atom


Entry 12:
Material: In2Hg
Method: DFT, PBEsol
State: optimized geometry

Lattice parameters (Å, degrees): 9.509 9.509 9.509 60.00 60.00 60.00
Fractional coordinates of all 24 atoms:
Hg (0.341, 0.341, 0.341)
Hg (0.976, 0.341, 0.341)
Hg (0.341, 0.976, 0.341)
Hg (0.341, 0.341, 0.976)
Hg (0.909, 0.909, 0.909)
Hg (0.274, 0.909, 0.909)
Hg (0.909, 0.274, 0.909)
Hg (0.909, 0.909, 0.274)
In (0.125, 0.125, 0.625)
In (0.125, 0.625, 0.125)
In (0.625, 0.125, 0.125)
In (0.125, 0.125, 0.125)
In (0.934, 0.566, 0.566)
In (0.566, 0.934, 0.566)
In (0.566, 0.566, 0.934)
In (0.934, 0.934, 0.566)
In (0.934, 0.566, 0.934)
In (0.566, 0.934, 0.934)
In (0.316, 0.684, 0.684)
In (0.684, 0.316, 0.684)
In (0.684, 0.684, 0.316)
In (0.316, 0.316, 0.684)
In (0.316, 0.684, 0.316)
In (0.684, 0.316, 0.316)

Values from the calculation:
**Density of states at the Fermi level**: 0.448 states/eV per atom
**Final energy**: -2.149 eV/atom
**Energy of formation from the pure elements**: 2.7 kJ per mole of atoms


Entry 13:
Material: Ga2Ag2Sn
Method: DFT, PBEsol
State: optimized geometry

Lattice parameters (Å, degrees): 3.084 7.816 7.816 90.00 90.00 90.00
Fractional coordinates of all 10 atoms:
Ga (0.500, 0.171, 0.671)
Ga (0.500, 0.671, 0.829)
Ga (0.500, 0.829, 0.329)
Ga (0.500, 0.329, 0.171)
Sn (0.000, 0.000, 0.000)
Sn (0.000, 0.500, 0.500)
Ag (0.000, 0.372, 0.872)
Ag (0.000, 0.872, 0.628)
Ag (0.000, 0.628, 0.128)
Ag (0.000, 0.128, 0.372)

Values from the calculation:
**Density of states at the Fermi level**: 0.364 states/eV per atom
**Final energy**: -3.478 eV/atom
**Energy of formation from the pure elements**: 3.4 kJ per mole of atoms


Entry 14:
Material: B2O3
Method: DFT, PBEsol
State: optimized geometry

Lattice parameters (Å, degrees): 4.349 4.349 8.320 90.00 90.00 120.00
Fractional coordinates of all 15 atoms:
B (0.235, 0.837, 0.225)
B (0.163, 0.397, 0.559)
B (0.603, 0.765, 0.892)
B (0.765, 0.603, 0.441)
B (0.397, 0.163, 0.775)
B (0.837, 0.235, 0.108)
O (0.850, 0.402, 0.540)
O (0.552, 0.150, 0.207)
O (0.598, 0.448, 0.873)
O (0.000, 0.843, 0.333)
O (0.157, 0.157, 0.667)
O (0.843, 0.000, 0.000)
O (0.448, 0.598, 0.460)
O (0.402, 0.850, 0.793)
O (0.150, 0.552, 0.127)

Values from the calculation:
**Density of states at the Fermi level**: 0.000 states/eV per atom
**Final energy**: -8.345 eV/atom
**Energy relative to the elements, uncorrected**: -2.389 eV per atom


Entry 15:
Material: KSb2Br
Method: DFT, PBEsol
State: optimized geometry

Lattice parameters (Å, degrees): 3.832 3.832 8.359 90.00 90.00 90.00
Fractional coordinates of all 4 atoms:
Br (0.000, 0.000, 0.524)
K (0.500, 0.500, 0.709)
Sb (0.000, 0.000, 0.050)
Sb (0.500, 0.500, 0.217)

Values from the calculation:
**Density of states at the Fermi level**: 0.496 states/eV per atom
**Final energy**: -3.574 eV/atom
**Energy relative to the elements, uncorrected**: -0.545 eV per atom


Entry 16:
Material: OsPbCl2
Method: DFT, PBEsol
State: optimized geometry

Lattice parameters (Å, degrees): 3.514 3.514 8.192 77.62 77.62 60.00
Fractional coordinates of all 4 atoms:
Pb (0.245, 0.245, 0.266)
Os (0.484, 0.484, 0.547)
Cl (0.998, 0.998, 0.007)
Cl (0.774, 0.774, 0.679)

Values from the calculation:
**Density of states at the Fermi level**: 0.787 states/eV per atom
**Final energy**: -4.692 eV/atom
**Energy relative to the elements, uncorrected**: 0.365 eV per atom


Entry 17:
Material: K2AgPPd
Method: DFT, PBEsol
State: optimized geometry

Lattice parameters (Å, degrees): 4.314 6.184 6.184 90.00 90.00 90.00
Fractional coordinates of all 5 atoms:
P (0.000, 0.000, 0.000)
K (0.000, 0.000, 0.500)
K (0.000, 0.500, 0.000)
Pd (0.500, 0.000, 0.000)
Ag (0.500, 0.500, 0.500)

Values from the calculation:
**Density of states at the Fermi level**: 0.472 states/eV per atom
**Final energy**: -3.377 eV/atom
**Energy of formation from the pure elements**: 8.5 kJ per mole of atoms


Entry 18:
Material: LaZn2Co
Method: DFT, PBEsol
State: optimized geometry

Lattice parameters (Å, degrees): 4.106 4.106 5.107 113.70 113.70 90.00
Each line ends with the local moment (μB).
Fractional coordinates of all 4 atoms:
Co (0.500, 0.500, 0.000)  0.44
La (0.000, 0.000, 0.000)  -0.04
Zn (0.750, 0.250, 0.500)  0.00
Zn (0.250, 0.750, 0.500)  0.00

Values from the calculation:
**Density of states at the Fermi level**: 0.629 states/eV per atom
**Final energy**: -4.009 eV/atom
**Energy of formation from the pure elements**: 5.1 kJ per mole of atoms


Entry 19:
Material: HgRhIO2
Method: DFT, PBEsol
State: optimized geometry

Lattice parameters (Å, degrees): 3.865 3.865 7.080 90.00 90.00 90.00
Fractional coordinates of all 5 atoms:
I (0.000, 0.000, 0.500)
Rh (0.000, 0.000, 0.000)
Hg (0.500, 0.500, 0.500)
O (0.000, 0.500, 0.000)
O (0.500, 0.000, 0.000)

Values from the calculation:
**Density of states at the Fermi level**: 0.698 states/eV per atom
**Final energy**: -4.201 eV/atom
**Energy relative to the elements, uncorrected**: -0.007 eV per atom


Entry 20:
Material: Li4Mn3Cr2Sn3O16
Method: DFT, PBEsol
State: optimized geometry

Lattice parameters (Å, degrees): 5.973 5.973 9.440 90.20 90.20 61.09
Each line ends with the local moment (μB).
Fractional coordinates of all 28 atoms:
Li (0.677, 0.677, 0.116)  0.00
Li (0.984, 0.984, 0.009)  0.00
Li (0.975, 0.975, 0.500)  0.00
Li (0.334, 0.334, 0.602)  0.00
Mn (0.833, 0.833, 0.787)  3.65
Mn (0.175, 0.657, 0.285)  3.33
Mn (0.657, 0.175, 0.285)  3.33
Cr (0.667, 0.667, 0.509)  2.74
Cr (0.343, 0.343, 0.019)  2.80
Sn (0.341, 0.833, 0.787)  0.04
Sn (0.833, 0.341, 0.787)  0.04
Sn (0.168, 0.168, 0.291)  0.06
O (0.320, 0.824, 0.403)  0.01
O (0.517, 0.517, 0.653)  0.00
O (0.681, 0.681, 0.902)  0.01
O (0.991, 0.991, 0.686)  0.01
O (0.989, 0.989, 0.195)  0.02
O (0.824, 0.320, 0.403)  0.01
O (0.523, 0.957, 0.646)  0.01
O (0.957, 0.523, 0.646)  0.01
O (0.167, 0.167, 0.907)  0.01
O (0.822, 0.822, 0.391)  0.01
O (0.051, 0.488, 0.159)  -0.01
O (0.488, 0.051, 0.159)  -0.01
O (0.343, 0.343, 0.396)  0.03
O (0.170, 0.667, 0.906)  0.03
O (0.486, 0.486, 0.159)  0.06
O (0.667, 0.170, 0.906)  0.03

Values from the calculation:
**Density of states at the Fermi level**: 0.161 states/eV per atom
**Final energy**: -7.276 eV/atom
**Energy relative to the elements, uncorrected**: -1.762 eV per atom